(1)
Computed, not measured: Pt4C after structural relaxation at the PBE level of DFT.

Lattice parameters (Å, degrees): 7.096 7.096 7.096 150.75 150.75 41.85
Positions (direct):
Pt1 0.093 0.093 0.000
Pt2 0.250 0.750 0.500
Pt3 0.750 0.250 0.500
Pt4 0.907 0.907 0.000
C1 0.500 0.500 0.000

Values from the calculation:
total DFT energy (no corrections): -25.885 eV for the cell shown
E above lowest polymorph: 1020.5 meV per atom
symmetry: I4/mmm, No. 139

---

(2)
Computed, not measured: Pt3C after structural relaxation at the PBE level of DFT.

Lattice parameters (Å, degrees): 5.458 8.940 4.765 90.00 90.00 90.00
Positions (direct):
Pt1 0.127 0.058 0.234
Pt2 0.127 0.442 0.234
Pt3 0.245 0.250 0.661
Pt4 0.255 0.750 0.161
Pt5 0.373 0.558 0.734
Pt6 0.373 0.942 0.734
Pt7 0.627 0.058 0.266
Pt8 0.627 0.442 0.266
Pt9 0.745 0.250 0.839
Pt10 0.755 0.750 0.339
Pt11 0.873 0.558 0.766
Pt12 0.873 0.942 0.766
C1 0.083 0.250 0.040
C2 0.417 0.750 0.540
C3 0.583 0.250 0.460
C4 0.917 0.750 0.960

Values from the calculation:
total DFT energy (no corrections): -103.705 eV for the cell shown
symmetry: Pnma, No. 62

---

(3)
Computed, not measured: PtC after structural relaxation at the PBE level of DFT.

Lattice parameters (Å, degrees): 3.152 3.152 5.277 90.00 90.00 120.00
Positions (direct):
Pt1 0.000 0.000 0.000
Pt2 0.000 0.000 0.500
C1 0.333 0.667 0.250
C2 0.667 0.333 0.750

Values from the calculation:
total DFT energy (no corrections): -25.303 eV for the cell shown
E above lowest polymorph: 909.4 meV per atom
symmetry: P6_3/mmc, No. 194

---

(4)
Computed, not measured: Pt4C5 after structural relaxation at the PBE level of DFT.

Lattice parameters (Å, degrees): 6.355 6.355 5.989 90.00 90.00 120.00
Positions (direct):
Pt1 0.000 0.000 0.000
Pt2 0.000 0.000 0.500
Pt3 0.000 0.473 0.250
Pt4 0.000 0.527 0.750
Pt5 0.473 0.000 0.250
Pt6 0.473 0.473 0.750
Pt7 0.527 0.000 0.750
Pt8 0.527 0.527 0.250
C1 0.000 0.224 0.750
C2 0.000 0.776 0.250
C3 0.224 0.000 0.750
C4 0.224 0.224 0.250
C5 0.333 0.667 0.000
C6 0.333 0.667 0.500
C7 0.667 0.333 0.000
C8 0.667 0.333 0.500
C9 0.776 0.000 0.250
C10 0.776 0.776 0.750

Values from the calculation:
total DFT energy (no corrections): -108.666 eV for the cell shown
E above lowest polymorph: 944.5 meV per atom
symmetry: P6_3/mcm, No. 193

---

(5)
Computed, not measured: Pt3C after structural relaxation at the PBE level of DFT.

Lattice parameters (Å, degrees): 7.279 7.279 7.279 23.70 23.70 23.70
Positions (direct):
Pt1 0.000 0.000 0.000
Pt2 0.227 0.227 0.227
Pt3 0.773 0.773 0.773
C1 0.500 0.500 0.500

Values from the calculation:
total DFT energy (no corrections): -25.042 eV for the cell shown
symmetry: R-3m, No. 166

---

(6)
Computed, not measured: PtC3 after structural relaxation at the PBE level of DFT.

Lattice parameters (Å, degrees): 4.065 4.065 5.595 90.00 90.00 144.61
Positions (direct):
Pt1 0.000 0.000 0.000
C1 0.000 0.000 0.500
C2 0.500 0.500 0.318
C3 0.500 0.500 0.682

Values from the calculation:
total DFT energy (no corrections): -25.660 eV for the cell shown
E above lowest polymorph: 1309.8 meV per atom
symmetry: Cmmm, No. 65

---

(7)
Computed, not measured: PtC after structural relaxation at the PBE level of DFT.

Lattice parameters (Å, degrees): 6.359 6.359 6.359 93.66 93.66 150.75
Positions (direct):
Pt1 0.114 0.732 0.846
Pt2 0.268 0.114 0.381
Pt3 0.732 0.886 0.619
Pt4 0.886 0.268 0.154
C1 0.108 0.307 0.415
C2 0.307 0.892 0.199
C3 0.693 0.108 0.801
C4 0.892 0.693 0.585

Values from the calculation:
total DFT energy (no corrections): -52.778 eV for the cell shown
E above lowest polymorph: 638.0 meV per atom
symmetry: I4/m, No. 87

---

(8)
Computed, not measured: PtC3 after structural relaxation at the PBE level of DFT.

Lattice parameters (Å, degrees): 8.577 8.577 8.577 157.29 157.29 32.34
Positions (direct):
Pt1 0.183 0.183 0.000
Pt2 0.817 0.817 0.000
C1 0.000 0.500 0.500
C2 0.250 0.750 0.500
C3 0.453 0.453 0.000
C4 0.500 0.000 0.500
C5 0.547 0.547 0.000
C6 0.750 0.250 0.500

Values from the calculation:
total DFT energy (no corrections): -46.356 eV for the cell shown
E above lowest polymorph: 1930.2 meV per atom
symmetry: I4/mmm, No. 139

---

(9)
Computed, not measured: PtC3 after structural relaxation at the PBE level of DFT.

Lattice parameters (Å, degrees): 4.058 4.058 4.058 90.00 90.00 90.00
Positions (direct):
Pt1 0.000 0.000 0.000
C1 0.000 0.000 0.500
C2 0.000 0.500 0.000
C3 0.500 0.000 0.000

Values from the calculation:
total DFT energy (no corrections): -20.615 eV for the cell shown
E above lowest polymorph: 2571.0 meV per atom
symmetry: Pm-3m, No. 221

---

(10)
Computed, not measured: PtC3 after structural relaxation at the PBE level of DFT.

Lattice parameters (Å, degrees): 4.210 4.210 17.375 90.00 90.00 120.00
Positions (direct):
Pt1 0.000 0.000 0.000
Pt2 0.000 0.000 0.500
Pt3 0.333 0.667 0.250
Pt4 0.667 0.333 0.750
C1 0.000 0.500 0.000
C2 0.000 0.500 0.500
C3 0.115 0.230 0.750
C4 0.115 0.885 0.750
C5 0.230 0.115 0.250
C6 0.500 0.000 0.000
C7 0.500 0.000 0.500
C8 0.500 0.500 0.000
C9 0.500 0.500 0.500
C10 0.770 0.885 0.750
C11 0.885 0.115 0.250
C12 0.885 0.770 0.250

Values from the calculation:
total DFT energy (no corrections): -94.551 eV for the cell shown
E above lowest polymorph: 1815.2 meV per atom
symmetry: P6_3/mmc, No. 194

---

(11)
Computed, not measured: Pt3C after structural relaxation at the PBE level of DFT.

Lattice parameters (Å, degrees): 5.412 5.412 9.062 90.00 90.00 120.00
Positions (direct):
Pt1 0.000 0.500 0.000
Pt2 0.000 0.500 0.500
Pt3 0.166 0.331 0.250
Pt4 0.166 0.834 0.250
Pt5 0.331 0.166 0.750
Pt6 0.500 0.000 0.000
Pt7 0.500 0.000 0.500
Pt8 0.500 0.500 0.000
Pt9 0.500 0.500 0.500
Pt10 0.669 0.834 0.250
Pt11 0.834 0.166 0.750
Pt12 0.834 0.669 0.750
C1 0.000 0.000 0.000
C2 0.000 0.000 0.500
C3 0.333 0.667 0.750
C4 0.667 0.333 0.250

Values from the calculation:
total DFT energy (no corrections): -87.787 eV for the cell shown
symmetry: P6_3/mmc, No. 194

---

(12)
Computed, not measured: PtC after structural relaxation at the PBE level of DFT.

Lattice parameters (Å, degrees): 4.323 4.323 2.739 90.00 90.00 137.81
Positions (direct):
Pt1 0.000 0.000 0.000
C1 0.500 0.500 0.500

Values from the calculation:
total DFT energy (no corrections): -12.425 eV for the cell shown
E above lowest polymorph: 1022.8 meV per atom
symmetry: Cmmm, No. 65

---

(13)
Computed, not measured: Pt5C3 after structural relaxation at the PBE level of DFT.

Lattice parameters (Å, degrees): 2.836 2.836 12.543 90.00 90.00 90.00
Positions (direct):
Pt1 0.000 0.000 0.000
Pt2 0.000 0.000 0.215
Pt3 0.000 0.000 0.785
Pt4 0.500 0.500 0.393
Pt5 0.500 0.500 0.607
C1 0.000 0.000 0.500
C2 0.500 0.500 0.147
C3 0.500 0.500 0.853

Values from the calculation:
total DFT energy (no corrections): -47.048 eV for the cell shown
E above lowest polymorph: 653.7 meV per atom
symmetry: P4/mmm, No. 123

---

(14)
Computed, not measured: PtC after structural relaxation at the PBE level of DFT.

Lattice parameters (Å, degrees): 4.226 4.226 4.226 90.00 90.00 90.00
Positions (direct):
Pt1 0.000 0.000 0.500
Pt2 0.000 0.500 0.000
Pt3 0.500 0.000 0.000
C1 0.000 0.500 0.500
C2 0.500 0.000 0.500
C3 0.500 0.500 0.000

Values from the calculation:
total DFT energy (no corrections): -37.430 eV for the cell shown
E above lowest polymorph: 996.9 meV per atom
symmetry: Pm-3m, No. 221

---

(15)
Computed, not measured: PtC8 after structural relaxation at the PBE level of DFT.

Lattice parameters (Å, degrees): 5.067 5.067 5.067 112.81 112.81 102.99
Positions (direct):
Pt1 0.000 0.000 0.000
C1 0.000 0.374 0.374
C2 0.000 0.626 0.626
C3 0.256 0.256 0.512
C4 0.256 0.744 0.000
C5 0.374 0.000 0.374
C6 0.626 0.000 0.626
C7 0.744 0.256 0.000
C8 0.744 0.744 0.488

Values from the calculation:
total DFT energy (no corrections): -59.337 eV for the cell shown
symmetry: I4/mmm, No. 139

---

(16)
Computed, not measured: PtC after structural relaxation at the PBE level of DFT.

Lattice parameters (Å, degrees): 8.420 8.420 8.420 159.93 159.93 28.54
Positions (direct):
Pt1 0.375 0.625 0.750
Pt2 0.625 0.375 0.250
C1 0.125 0.875 0.250
C2 0.875 0.125 0.750

Values from the calculation:
total DFT energy (no corrections): -24.807 eV for the cell shown
E above lowest polymorph: 1033.5 meV per atom
symmetry: I4_1/amd, No. 141

---

(17)
Computed, not measured: PtC3 after structural relaxation at the PBE level of DFT.

Lattice parameters (Å, degrees): 8.257 8.257 3.242 90.00 90.00 152.25
Positions (direct):
Pt1 0.127 0.873 0.750
Pt2 0.873 0.127 0.250
C1 0.217 0.447 0.750
C2 0.311 0.689 0.250
C3 0.447 0.217 0.250
C4 0.553 0.783 0.750
C5 0.689 0.311 0.750
C6 0.783 0.553 0.250

Values from the calculation:
total DFT energy (no corrections): -51.791 eV for the cell shown
E above lowest polymorph: 1250.8 meV per atom
symmetry: Cmcm, No. 63

---

(18)
Computed, not measured: PtC3 after structural relaxation at the PBE level of DFT.

Lattice parameters (Å, degrees): 5.124 5.429 6.726 90.00 90.00 90.00
Positions (direct):
Pt1 0.205 0.250 0.082
Pt2 0.295 0.750 0.582
Pt3 0.705 0.250 0.418
Pt4 0.795 0.750 0.918
C1 0.105 0.250 0.385
C2 0.234 0.621 0.032
C3 0.234 0.879 0.032
C4 0.266 0.121 0.532
C5 0.266 0.379 0.532
C6 0.395 0.750 0.885
C7 0.605 0.250 0.115
C8 0.734 0.621 0.468
C9 0.734 0.879 0.468
C10 0.766 0.121 0.968
C11 0.766 0.379 0.968
C12 0.895 0.750 0.615

Values from the calculation:
total DFT energy (no corrections): -116.084 eV for the cell shown
E above lowest polymorph: 469.4 meV per atom
symmetry: Pnma, No. 62

---

(19)
Computed, not measured: PtC4 after structural relaxation at the PBE level of DFT.

Lattice parameters (Å, degrees): 2.904 2.904 5.971 90.00 90.00 120.00
Positions (direct):
Pt1 0.000 0.000 0.000
C1 0.333 0.667 0.209
C2 0.333 0.667 0.453
C3 0.667 0.333 0.547
C4 0.667 0.333 0.791

Values from the calculation:
total DFT energy (no corrections): -37.150 eV for the cell shown
E above lowest polymorph: 0.0 meV per atom
symmetry: P-3m1, No. 164

---

(20)
Computed, not measured: Pt5C after structural relaxation at the PBE level of DFT.

Lattice parameters (Å, degrees): 5.204 5.204 5.204 60.00 60.00 60.00
Positions (direct):
Pt1 0.000 0.000 0.000
Pt2 0.125 0.625 0.625
Pt3 0.625 0.125 0.625
Pt4 0.625 0.625 0.125
Pt5 0.625 0.625 0.625
C1 0.250 0.250 0.250

Values from the calculation:
total DFT energy (no corrections): -31.422 eV for the cell shown
E above lowest polymorph: 910.2 meV per atom
symmetry: F-43m, No. 216

---

In eV per atom, the DFT formation energy values for the records above are, in order, 1.500 0.355 1.306 1.772 0.576 2.013 1.035 2.634 3.274 2.519 1.350 1.420 1.353 1.394 2.277 1.431 1.954 1.173 1.157 1.334.
In μB per formula unit, the total magnetization values for the records above are, in order, 0.0 0.0 0.0 0.0 0.0 0.0 0.0 0.0 3.9 0.0 0.0 0.0 0.0 0.0 0.0 0.0 0.0 0.0 0.0 0.0.